Record 1
Entry from the Alexandria database: crystalline Tb3Y3Er8 at its relaxed geometry (GGA-PBE).

POSCAR file:
```
Tb3Y3Er8
1.0
5.4728 0.0005 1.1007
2.6781 9.1432 0.8395
1.0375 -3.0592 9.0023
Er Tb Y
8 3 3
direct
0.1564 0.2394 0.4471
0.6584 0.5644 0.1181
0.3416 0.8819 0.4356
0.6584 0.1181 0.5644
0.3416 0.4356 0.8819
0.1564 0.4471 0.2394
0.8436 0.7606 0.5529
0.8436 0.5529 0.7606
0.5000 0.0000 0.0000
0.0000 0.8170 0.1830
0.0000 0.1830 0.8170
0.7978 0.2020 0.2020
0.5000 0.5000 0.5000
0.2022 0.7980 0.7980
```

Properties
E_form, eV per atom: 0.1192
E above lowest polymorph, kJ per mole of atoms: 0.8

Record 2
Entry from the Alexandria database: crystalline PrCuPF at its relaxed geometry (GGA-PBE).

POSCAR file:
```
PrCuPF
1.0
-1.9941 2.4484 -2.2756
-1.1124 -2.9848 -2.2367
-6.9196 -1.0879 4.8932
Cu Pr F P
2 2 2 2
direct
0.0000 0.0000 0.0000
0.5000 0.5000 0.0000
0.0000 0.5000 0.3076
0.5000 0.0000 0.6924
0.0000 0.0000 0.5000
0.5000 0.5000 0.5000
0.5000 0.0000 0.1681
0.0000 0.5000 0.8319
```

Properties
ΔE_f (raw), meV per atom: -1945

Record 3
Entry from the Alexandria database: crystalline Cu3Ag at its relaxed geometry (GGA-PBE).

POSCAR file:
```
Cu3Ag
1.0
-0.7808 -2.0871 -1.5459
2.4797 1.0567 -0.3001
3.0501 -5.4898 5.8714
Cu Ag
3 1
direct
0.0000 0.0000 0.5000
0.3333 0.6667 0.2678
0.3333 0.6667 0.7322
0.0000 0.0000 0.0000
```

Properties
E_form, eV per atom: 0.1149

| no. | VASP energy (Ry per atom) |
| --- | --- |
| 1 | -0.3576 |
| 2 | -0.4399 |
| 3 | -0.2697 |